A relaxed structure of HoPuCu2Si2. Source: Alexandria, functional GGA-PBE.

a b c (Å): 4.1324 4.1324 7.5831
angles (deg): 90.00 90.00 120.00
With the nearest neighbours (Å) after each atom.
Fractional coordinates of all 6 atoms:
Ho 0.0000 0.0000 0.5000  6 Cu 3.00, 6 Si 3.05
Pu 0.0000 0.0000 0.0000  6 Si 3.05, 6 Cu 3.10
Cu 0.3333 0.6667 0.7397  3 Si 2.39
Cu 0.6667 0.3333 0.2603  3 Si 2.39
Si 0.3333 0.6667 0.2501  3 Cu 2.39
Si 0.6667 0.3333 0.7499  3 Cu 2.39

Calculated values
Energy   -6.821 eV/atom
Uncorrected formation energy   -0.4965 eV/atom

A relaxed structure of GaAgPb. Source: Alexandria, functional GGA-PBE.

a b c (Å): 5.1344 5.1344 6.0627
angles (deg): 90.00 90.00 120.00
With the nearest neighbours (Å) after each atom.
Fractional coordinates of all 6 atoms:
Pb 0.3333 0.6667 0.7500  5 Ga 2.96-3.03
Pb 0.6667 0.3333 0.2500  5 Ga 2.96-3.03
Ga 0.3333 0.6667 0.2500  5 Pb 2.96-3.03
Ga 0.6667 0.3333 0.7500  5 Pb 2.96-3.03
Ag 0.0000 0.0000 0.0000  2 Ag 3.03, 6 Pb 3.33, 6 Ga 3.33
Ag 0.0000 0.0000 0.5000  2 Ag 3.03, 6 Pb 3.33, 6 Ga 3.33

Calculated values
Energy   -3.005 eV/atom
DFT formation energy   0.19 eV per atom

A relaxed structure of TbEr3Rh. Source: Alexandria, functional GGA-PBE.

a b c (Å): 6.0986 6.4663 7.4984
angles (deg): 90.01 90.00 90.00
With the nearest neighbours (Å) after each atom.
Fractional coordinates of all 10 atoms:
Tb 0.4322 0.3249 0.7009  1 Rh 2.77
Tb 0.9321 0.0278 0.2007  1 Rh 2.77
Er 0.4179 0.3284 0.2009  1 Rh 2.73
Er 0.4262 0.8628 0.9518  2 Rh 2.70
Er 0.9260 0.4900 0.4518  2 Rh 2.70
Er 0.9180 0.0244 0.7007  1 Rh 2.73
Er 0.9262 0.4900 0.9497  2 Rh 2.70
Er 0.4261 0.8628 0.4497  2 Rh 2.70
Rh 0.1758 0.6793 0.7008  5 Er 2.70-2.73, 1 Tb 2.77
Rh 0.6758 0.6734 0.2008  5 Er 2.70-2.73, 1 Tb 2.77

Calculated values
Energy   -5.444 eV/atom
DFT formation energy   -0.31 eV per atom
Excess energy over the best structure of this formula in the dataset   0.000 eV/atom

A relaxed structure of GaP2AuO8. Source: Alexandria, functional GGA-PBE.

a b c (Å): 4.7485 4.7485 7.7447
angles (deg): 72.15 72.15 60.00
With the nearest neighbours (Å) after each atom.
Fractional coordinates of all 12 atoms:
Ga 0.0000 0.0000 0.0000  6 O 1.98
P 0.2576 0.2576 0.2271  4 O 1.54-1.59
P 0.7423 0.7423 0.7729  4 O 1.54-1.59
Au 0.5000 0.5000 0.5000  12 O 2.77-2.97
O 0.1847 0.1847 0.4460  1 P 1.59
O 0.5980 0.2572 0.1655  1 P 1.54
O 0.8153 0.8153 0.5540  1 P 1.59
O 0.9793 0.5980 0.1655  1 P 1.54
O 0.0207 0.4020 0.8345  1 P 1.54
O 0.2572 0.9793 0.1655  1 P 1.54
O 0.7428 0.0207 0.8345  1 P 1.54
O 0.4020 0.7428 0.8345  1 P 1.54

Calculated values
Energy   -6.120 eV/atom
Uncorrected formation energy   -1.3878 eV/atom